[1]
# DyAg | OQMD | PBE-GGA | optimized geometry
# * formation enthalpy at 0 K: 267 meV/atom
# * crystal system: hexagonal
data_DyAg
_symmetry_space_group_name_H-M 'P 63 m c'
_symmetry_Int_Tables_number 186
_symmetry_space_group_name_Hall 'P 6c -2c'
_cell_length_a 4.8043
_cell_length_b 4.8043
_cell_length_c 6.0440
_cell_angle_alpha 90.00
_cell_angle_beta 90.00
_cell_angle_gamma 120.00
loop_
_atom_site_label
_atom_site_fract_x
_atom_site_fract_y
_atom_site_fract_z
Dy1 0.3333 0.6667 0.0000
Ag1 0.3333 0.6667 0.5048


[2]
# ErScGa2Pt4 | OQMD | PBE-GGA | optimized geometry
# * crystal system: hexagonal
# * energy relative to the lowest polymorph listed for this composition: 0.0 kJ/mol of atoms
data_ErScGa2Pt4
_symmetry_space_group_name_H-M 'P -6 m 2'
_symmetry_Int_Tables_number 187
_symmetry_space_group_name_Hall 'P -6 2'
_cell_length_a 4.3344
_cell_length_b 4.3344
_cell_length_c 8.8766
_cell_angle_alpha 90.00
_cell_angle_beta 90.00
_cell_angle_gamma 120.00
loop_
_atom_site_label
_atom_site_fract_x
_atom_site_fract_y
_atom_site_fract_z
Er1 0.0000 0.0000 0.0000
Sc1 0.6667 0.3333 0.5000
Ga1 0.3333 0.6667 0.2538
Pt1 0.0000 0.0000 0.3441
Pt2 0.6667 0.3333 0.1682


[3]
# GdYIn4Ir2 | OQMD | PBE-GGA | optimized geometry
# * crystal system: orthorhombic
# * E_tot: -88.27 eV/cell
data_GdYIn4Ir2
_symmetry_space_group_name_H-M 'A m m 2'
_symmetry_Int_Tables_number 38
_symmetry_space_group_name_Hall 'A 2 -2'
_cell_length_a 8.0078
_cell_length_b 4.3516
_cell_length_c 10.2376
_cell_angle_alpha 90.00
_cell_angle_beta 90.00
_cell_angle_gamma 90.00
loop_
_atom_site_label
_atom_site_fract_x
_atom_site_fract_y
_atom_site_fract_z
Gd1 0.0000 0.0000 0.0000
Y1 0.5000 0.0000 0.8585
In1 0.2005 0.0000 0.2865
In2 0.3009 0.0000 0.5721
Ir1 0.0000 0.0000 0.7098
Ir2 0.5000 0.0000 0.1486


[4]
# Pr2NdCd3Cu2Ag | OQMD | PBE-GGA | optimized geometry
# * formation enthalpy at 0 K: -287 meV/atom
# * crystal system: orthorhombic
data_Pr2NdCd3Cu2Ag
_symmetry_space_group_name_H-M 'A m m 2'
_symmetry_Int_Tables_number 38
_symmetry_space_group_name_Hall 'A 2 -2'
_cell_length_a 3.9819
_cell_length_b 13.6297
_cell_length_c 7.8604
_cell_angle_alpha 90.00
_cell_angle_beta 90.00
_cell_angle_gamma 90.00
loop_
_atom_site_label
_atom_site_fract_x
_atom_site_fract_y
_atom_site_fract_z
Pr1 0.0000 0.2056 0.0000
Nd1 0.0000 0.0000 0.6167
Cd1 0.5000 0.0000 0.9412
Cd2 0.5000 0.1314 0.3380
Cu1 0.5000 0.1658 0.7051
Ag1 0.0000 0.0000 0.2060